A plane-wave DFT calculation with PBE was carried out for an optimized crystal structure of ScPdCl2.

Cell lengths 5.957, 5.957, 6.899 Å; angles 64.42, 64.42, 90.00 degrees
Site moments in Bohr magnetons follow the coordinates.
Fractional coordinates of all 8 atoms:
Sc: 0.500 0.500 0.000  0.60
Sc: 0.250 0.750 0.500  0.58
Pd: 0.000 0.000 0.000  -0.01
Pd: 0.750 0.250 0.500  -0.01
Cl: 0.616 0.125 0.250  -0.01
Cl: 0.134 0.625 0.250  -0.01
Cl: 0.375 0.384 0.750  -0.01
Cl: 0.875 0.866 0.750  -0.01

Summary:
The calculation puts the excess energy over the best structure of this formula in the dataset at 1.13 eV per formula unit. Its space group is No. 122. Its density of states at the Fermi level is 4.08 states/eV/cell. For the calculated total energy, the calculation gives -35.90 eV per cell. For the energy relative to the elements, uncorrected, the calculation gives -0.6831 eV per atom. The value obtained for the theoretical density is 3.81 Mg/m³.



A plane-wave DFT calculation with PBE was carried out for an optimized crystal structure of Mn2Al3Au3.

Cell lengths 5.426, 7.671, 7.671 Å; angles 60.00, 90.00, 90.00 degrees
Site moments in Bohr magnetons follow the coordinates.
Fractional coordinates of all 16 atoms:
Mn: 0.000 0.333 0.333  3.47
Mn: 0.500 0.667 0.667  3.47
Mn: 0.000 0.667 0.667  3.47
Mn: 0.500 0.333 0.333  3.47
Al: 0.750 0.000 0.698  -0.03
Al: 0.750 0.698 0.302  -0.03
Al: 0.750 0.302 0.000  -0.03
Al: 0.250 0.000 0.302  -0.03
Al: 0.250 0.302 0.698  -0.03
Al: 0.250 0.698 0.000  -0.03
Au: 0.750 0.000 0.354  0.00
Au: 0.750 0.354 0.646  0.00
Au: 0.750 0.646 0.000  0.00
Au: 0.250 0.000 0.646  0.00
Au: 0.250 0.646 0.354  0.00
Au: 0.250 0.354 0.000  0.00

Summary:
Its space group is No. 193. Its density of states at the Fermi level is 8.16 states/eV/cell. As for the formation energy: -228 meV per atom. For the calculated total energy, the calculation gives -82.45 eV per cell. The value obtained for the theoretical density is 9.39 Mg/m³.



A plane-wave DFT calculation with PBE was carried out for an optimized crystal structure of CeNd6Se8.

Cell lengths 8.442, 8.442, 8.442 Å; angles 60.00, 60.00, 60.00 degrees
Site moments in Bohr magnetons follow the coordinates.
Fractional coordinates of all 15 atoms:
Ce: 0.000 0.000 0.000  0.99
Nd: 0.000 0.500 0.500  0.03
Nd: 0.500 0.000 0.000  0.03
Nd: 0.500 0.500 0.000  0.03
Nd: 0.000 0.000 0.500  0.03
Nd: 0.000 0.500 0.000  0.03
Nd: 0.500 0.000 0.500  0.03
Se: 0.750 0.750 0.750  0.00
Se: 0.250 0.250 0.250  0.00
Se: 0.748 0.252 0.252  -0.01
Se: 0.252 0.748 0.748  -0.01
Se: 0.252 0.252 0.748  -0.01
Se: 0.748 0.748 0.252  -0.01
Se: 0.748 0.252 0.748  -0.01
Se: 0.252 0.748 0.252  -0.01

Summary:
Its space group is No. 225. Its density of states at the Fermi level is 13.83 states/eV/cell. For the calculated total energy, the calculation gives -90.24 eV per cell. For the energy relative to the elements, uncorrected, the calculation gives -1.8551 eV per atom. The value obtained for the theoretical density is 6.39 Mg/m³.



A plane-wave DFT calculation with PBE was carried out for an optimized crystal structure of KMnReP2.

Cell lengths 4.919, 4.779, 4.919 Å; angles 90.00, 90.00, 90.00 degrees
Site moments in Bohr magnetons follow the coordinates.
Fractional coordinates of all 5 atoms:
Re: 0.000 0.500 0.000  1.78
K: 0.000 0.000 0.000  0.01
Mn: 0.500 0.500 0.500  0.44
P: 0.000 0.000 0.500  -0.06
P: 0.500 0.000 0.000  -0.03

Summary:
Its space group is No. 123. Its density of states at the Fermi level is 7.47 states/eV/cell. As for the formation energy: 3395 meV per atom. For the calculated total energy, the calculation gives -16.56 eV per cell. The value obtained for the theoretical density is 4.91 Mg/m³.



A plane-wave DFT calculation with PBE was carried out for an optimized crystal structure of BeInBr.

Cell lengths 8.663, 8.189, 3.639 Å; angles 84.94, 70.32, 24.74 degrees
Fractional coordinates of all 3 atoms:
Be: 0.984 0.984 0.016
Br: 0.393 0.393 0.607
In: 0.622 0.622 0.378

Summary:
The calculation puts the excess energy over the best structure of this formula in the dataset at 0.18 eV per formula unit. Its space group is No. 42. Its density of states at the Fermi level is 0.82 states/eV/cell. For the calculated total energy, the calculation gives -7.85 eV per cell. For the energy relative to the elements, uncorrected, the calculation gives 0.0949 eV per atom. The value obtained for the theoretical density is 3.99 Mg/m³.



A plane-wave DFT calculation with PBE was carried out for an optimized crystal structure of NpB2Pt7.

Cell lengths 4.122, 6.678, 6.678 Å; angles 115.02, 90.00, 90.00 degrees
Site moments in Bohr magnetons follow the coordinates.
Fractional coordinates of all 10 atoms:
Np: 0.000 0.000 0.000  3.03
B: 0.500 0.690 0.310  0.00
B: 0.500 0.310 0.690  0.00
Pt: 0.000 0.742 0.258  -0.06
Pt: 0.000 0.258 0.742  -0.06
Pt: 0.500 0.065 0.329  -0.08
Pt: 0.500 0.935 0.671  -0.08
Pt: 0.500 0.329 0.065  -0.08
Pt: 0.500 0.671 0.935  -0.08
Pt: 0.500 0.500 0.500  -0.01

Summary:
Its space group is No. 65. Its density of states at the Fermi level is 12.22 states/eV/cell. As for the formation energy: -193 meV per atom. For the calculated total energy, the calculation gives -70.51 eV per cell. The value obtained for the theoretical density is 16.19 Mg/m³.



Question: Which value of calculated total energy does entry 3 give?
Answer: -90.24 eV per cell